1.
VASP calculation (GGA-PBE) on crystalline UCuBi2S6 at its relaxed geometry.

Results
formation energy from raw total energies = -0.616 eV per atom
density = 5.8 g/cm³
space group = R3
raw total energy = -54.07 eV for the cell shown
D(E_F) = 0.031 states/eV/atom
V = 258.9 Å³/cell

abc: 6.858 6.858 7.489
angles: 62.75 62.75 60.00
Positions (direct):
U 0.834 0.834 0.498
Cu 0.258 0.258 0.227
Bi 0.511 0.511 0.466
Bi 0.025 0.025 0.924
S 0.601 0.210 0.239
S 0.210 0.950 0.239
S 0.950 0.601 0.239
S 0.459 0.727 0.727
S 0.727 0.086 0.727
S 0.086 0.459 0.727

=====

2.
VASP calculation (GGA-PBE) on crystalline UCuBiS5 at its relaxed geometry.

Results
formation energy from raw total energies = -0.610 eV per atom
density = 5.6 g/cm³
space group = C2/c
raw total energy = -89.56 eV for the cell shown
V = 398.2 Å³/cell

abc: 7.042 7.042 9.245
angles: 101.56 101.56 111.60
Positions (direct):
U 0.000 0.000 0.500
U 0.000 0.000 0.000
Cu 0.707 0.293 0.250
Cu 0.293 0.707 0.750
Bi 0.409 0.591 0.250
Bi 0.591 0.409 0.750
S 0.098 0.902 0.250
S 0.902 0.098 0.750
S 0.969 0.329 0.137
S 0.031 0.671 0.863
S 0.671 0.031 0.363
S 0.329 0.969 0.637
S 0.745 0.590 0.444
S 0.255 0.410 0.556
S 0.410 0.255 0.056
S 0.590 0.745 0.944

=====

3.
VASP calculation (GGA-PBE) on crystalline V2CuBiS at its relaxed geometry.

Results
formation energy from raw total energies = 1.269 eV per atom
density = 5.1 g/cm³
space group = P4/mmm
raw total energy = -24.00 eV for the cell shown
D(E_F) = 0.566 states/eV/atom
V = 133.1 Å³/cell

abc: 5.279 4.777 5.279
angles: 90.00 90.00 90.00
Positions (direct):
S 0.500 0.500 0.500
Bi 0.000 0.000 0.000
Cu 0.000 0.500 0.000
V 0.000 0.000 0.500
V 0.500 0.000 0.000

=====

Q: Which value of density does entry 1 give?
A: 5.8 g/cm³